# 1
An optimized crystal structure of NaCuPtS3, computed with GGA-PBE.

Calculated values
- final energy (eV per atom) = -4.331
- calculated volume (Å³/cell) = 219.5

abc: 6.429 6.429 9.697
angles: 90.00 90.00 33.21
Atoms (fractional coordinates):
Na 0.740 0.740 0.750
Na 0.260 0.260 0.250
S 0.627 0.627 0.465
S 0.373 0.373 0.535
S 0.062 0.062 0.750
S 0.938 0.938 0.250
S 0.627 0.627 0.035
S 0.373 0.373 0.965
Cu 0.555 0.555 0.250
Cu 0.445 0.445 0.750
Pt 0.000 0.000 0.000
Pt 0.000 0.000 0.500



# 2
An optimized crystal structure of NaCu3PtS4, computed with GGA-PBE.

Calculated values
- final energy (eV per atom) = -4.022
- calculated volume (Å³/cell) = 181.7

abc: 5.664 5.664 5.664
angles: 90.00 90.00 90.00
Atoms (fractional coordinates):
Cu 0.500 0.500 0.000
Cu 0.000 0.500 0.500
Cu 0.500 0.000 0.500
S 0.737 0.737 0.263
S 0.737 0.263 0.737
S 0.263 0.737 0.737
S 0.263 0.263 0.263
Na 0.000 0.000 0.000
Pt 0.500 0.500 0.500



# 3
An optimized crystal structure of NaCuPtSeS2, computed with GGA-PBE.

Calculated values
- final energy (eV per atom) = -4.216
- calculated volume (Å³/cell) = 233.1

abc: 6.684 6.684 9.882
angles: 90.00 90.00 148.13
Atoms (fractional coordinates):
S 0.121 0.879 0.961
S 0.879 0.121 0.039
S 0.121 0.879 0.539
S 0.879 0.121 0.461
Na 0.747 0.253 0.750
Na 0.253 0.747 0.250
Cu 0.055 0.945 0.750
Cu 0.945 0.055 0.250
Pt 0.500 0.500 0.000
Pt 0.500 0.500 0.500
Se 0.428 0.572 0.750
Se 0.572 0.428 0.250



# 4
An optimized crystal structure of NaCuTe2PtS, computed with GGA-PBE.

Calculated values
- final energy (eV per atom) = -3.925
- calculated volume (Å³/cell) = 268.8

abc: 6.665 6.665 10.608
angles: 90.00 90.00 145.22
Atoms (fractional coordinates):
Na 0.226 0.774 0.250
Na 0.774 0.226 0.750
Te 0.141 0.859 0.969
Te 0.141 0.859 0.531
Te 0.859 0.141 0.469
Te 0.859 0.141 0.031
Cu 0.953 0.047 0.250
Cu 0.047 0.953 0.750
Pt 0.500 0.500 0.000
Pt 0.500 0.500 0.500
S 0.540 0.460 0.250
S 0.460 0.540 0.750



# 5
An optimized crystal structure of NaCuTePtS2, computed with GGA-PBE.

Calculated values
- final energy (eV per atom) = -4.118
- calculated volume (Å³/cell) = 262.0

abc: 7.134 7.134 10.492
angles: 90.00 90.00 150.61
Atoms (fractional coordinates):
Na 0.768 0.232 0.250
Na 0.232 0.768 0.750
Te 0.077 0.923 0.250
Te 0.923 0.077 0.750
Cu 0.435 0.565 0.250
Cu 0.565 0.435 0.750
Pt 0.000 0.000 0.000
Pt 0.000 0.000 0.500
S 0.388 0.612 0.045
S 0.612 0.388 0.955
S 0.388 0.612 0.455
S 0.612 0.388 0.545



# 6
An optimized crystal structure of NaCuPtSe3, computed with GGA-PBE.

Calculated values
- energy above the lowest structure with this stoichiometry (meV/atom) = 93.2
- calculated volume (Å³/cell) = 518.4

abc: 8.947 3.929 14.746
angles: 90.00 90.00 90.00
Atoms (fractional coordinates):
Pt 0.155 0.250 0.944
Pt 0.655 0.250 0.556
Pt 0.345 0.750 0.444
Pt 0.845 0.750 0.056
Na 0.534 0.750 0.795
Na 0.034 0.750 0.705
Na 0.966 0.250 0.295
Na 0.466 0.250 0.205
Se 0.321 0.750 0.993
Se 0.701 0.750 0.205
Se 0.179 0.250 0.493
Se 0.021 0.250 0.094
Se 0.679 0.250 0.007
Se 0.799 0.250 0.705
Se 0.521 0.250 0.406
Se 0.299 0.250 0.795
Se 0.479 0.750 0.594
Se 0.201 0.750 0.295
Se 0.979 0.750 0.906
Se 0.821 0.750 0.507
Cu 0.251 0.250 0.643
Cu 0.749 0.750 0.357
Cu 0.751 0.250 0.857
Cu 0.249 0.750 0.143



# 7
An optimized crystal structure of NaCuPtSe3, computed with GGA-PBE.

Calculated values
- energy above the lowest structure with this stoichiometry (meV/atom) = 69.8
- calculated volume (Å³/cell) = 252.9

abc: 8.383 8.383 8.536
angles: 106.99 106.99 26.22
Atoms (fractional coordinates):
Cu 0.508 0.508 0.716
Cu 0.492 0.492 0.284
Se 0.330 0.330 0.217
Se 0.500 0.500 0.000
Se 0.659 0.659 0.393
Se 0.670 0.670 0.783
Se 0.341 0.341 0.607
Se 0.000 0.000 0.500
Pt 0.827 0.827 0.409
Pt 0.173 0.173 0.591
Na 0.862 0.862 0.942
Na 0.138 0.138 0.058



# 8
An optimized crystal structure of NaCuPtSe3, computed with GGA-PBE.

Calculated values
- energy above the lowest structure with this stoichiometry (meV/atom) = 64.1
- calculated volume (Å³/cell) = 494.9

abc: 10.232 3.828 12.635
angles: 90.00 90.00 90.00
Atoms (fractional coordinates):
Se 0.460 0.750 0.886
Se 0.040 0.250 0.386
Se 0.472 0.250 0.376
Se 0.528 0.750 0.624
Se 0.972 0.250 0.124
Se 0.259 0.750 0.186
Se 0.960 0.750 0.614
Se 0.741 0.250 0.814
Se 0.241 0.250 0.686
Se 0.028 0.750 0.876
Se 0.759 0.750 0.314
Se 0.540 0.250 0.114
Na 0.244 0.250 0.001
Na 0.744 0.250 0.499
Na 0.756 0.750 0.999
Na 0.256 0.750 0.501
Pt 0.007 0.750 0.255
Pt 0.493 0.250 0.755
Pt 0.993 0.250 0.745
Pt 0.507 0.750 0.245
Cu 0.752 0.250 0.196
Cu 0.252 0.250 0.304
Cu 0.248 0.750 0.804
Cu 0.748 0.750 0.696